No. 1
Below is NaSrSi2P after structural relaxation, with properties calculated at the PBE-GGA level.

Calculated volume ... 34.3 Å³/atom
M_tot ... 0.00 μB per formula unit
Uncorrected formation energy ... 1.597 eV/atom

abc: 5.505 5.505 5.654
angles: 90.00 90.00 90.00
Positions (direct):
Na1 0.000 0.000 0.000
Sr1 0.000 0.000 0.500
Si1 0.000 0.500 0.500
Si2 0.500 0.000 0.500
P1 0.500 0.500 0.000


No. 2
Below is HfIrF2 after structural relaxation, with properties calculated at the PBE-GGA level.

Calculated volume ... 13.6 Å³/atom
M_tot ... 0.98 μB per formula unit
Uncorrected formation energy ... -0.646 eV/atom
Energy above the lowest structure with this stoichiometry ... 727 meV per atom

abc: 4.252 4.252 4.252
angles: 60.00 60.00 60.00
Positions (direct):
Hf1 0.000 0.000 0.000
Ir1 0.500 0.500 0.500
F1 0.250 0.250 0.250
F2 0.750 0.750 0.750


No. 3
Below is ZnSn3Au3 after structural relaxation, with properties calculated at the PBE-GGA level.

Calculated volume ... 23.7 Å³/atom
M_tot ... 0.00 μB per formula unit
Energy above the lowest structure with this stoichiometry ... 0 meV per atom
Formation energy ... -99 meV/atom

abc: 7.508 7.508 7.508
angles: 64.86 64.86 64.86
Positions (direct):
Zn1 0.158 0.158 0.158
Zn2 0.842 0.842 0.842
Sn1 0.131 0.680 0.385
Sn2 0.320 0.615 0.869
Sn3 0.385 0.131 0.680
Sn4 0.615 0.869 0.320
Sn5 0.680 0.385 0.131
Sn6 0.869 0.320 0.615
Au1 0.040 0.449 0.810
Au2 0.190 0.960 0.551
Au3 0.449 0.810 0.040
Au4 0.551 0.190 0.960
Au5 0.810 0.040 0.449
Au6 0.960 0.551 0.190


No. 4
Below is Dy8Ir2Pt after structural relaxation, with properties calculated at the PBE-GGA level.

Calculated volume ... 27.0 Å³/atom
M_tot ... 0.00 μB per formula unit
Formation energy ... -548 meV/atom

abc: 7.522 7.522 5.958
angles: 100.05 100.05 111.85
Positions (direct):
Dy1 0.000 0.000 0.000
Dy2 0.025 0.288 0.581
Dy3 0.142 0.578 0.188
Dy4 0.288 0.025 0.581
Dy5 0.439 0.702 0.785
Dy6 0.578 0.142 0.188
Dy7 0.702 0.439 0.785
Dy8 0.724 0.724 0.376
Ir1 0.052 0.678 0.690
Ir2 0.678 0.052 0.690
Pt1 0.361 0.361 0.354


Which value of M_tot does entry 4 give? 0.00 μB per formula unit


The highest M_tot belongs to which entry? HfIrF2


Please write out number 4 again, unchanged.
Below is Dy8Ir2Pt after structural relaxation, with properties calculated at the PBE-GGA level.

Calculated volume ... 27.0 Å³/atom
M_tot ... 0.00 μB per formula unit
Formation energy ... -548 meV/atom

abc: 7.522 7.522 5.958
angles: 100.05 100.05 111.85
Positions (direct):
Dy1 0.000 0.000 0.000
Dy2 0.025 0.288 0.581
Dy3 0.142 0.578 0.188
Dy4 0.288 0.025 0.581
Dy5 0.439 0.702 0.785
Dy6 0.578 0.142 0.188
Dy7 0.702 0.439 0.785
Dy8 0.724 0.724 0.376
Ir1 0.052 0.678 0.690
Ir2 0.678 0.052 0.690
Pt1 0.361 0.361 0.354


Copy entry 3 word for word.
Below is ZnSn3Au3 after structural relaxation, with properties calculated at the PBE-GGA level.

Calculated volume ... 23.7 Å³/atom
M_tot ... 0.00 μB per formula unit
Energy above the lowest structure with this stoichiometry ... 0 meV per atom
Formation energy ... -99 meV/atom

abc: 7.508 7.508 7.508
angles: 64.86 64.86 64.86
Positions (direct):
Zn1 0.158 0.158 0.158
Zn2 0.842 0.842 0.842
Sn1 0.131 0.680 0.385
Sn2 0.320 0.615 0.869
Sn3 0.385 0.131 0.680
Sn4 0.615 0.869 0.320
Sn5 0.680 0.385 0.131
Sn6 0.869 0.320 0.615
Au1 0.040 0.449 0.810
Au2 0.190 0.960 0.551
Au3 0.449 0.810 0.040
Au4 0.551 0.190 0.960
Au5 0.810 0.040 0.449
Au6 0.960 0.551 0.190